4
Lattice="-0.690 -4.570 2.851 4.003 -3.660 0.274 2.698 -0.730 4.656" Properties=species:S:1:pos:R:3 comment="PBE LiPrGdPb, optimized geometry" magmom_total_mub_per_fu=7.8 e_tot_ev_per_atom=-6.43 ef_ev_per_atom=-0.308 sg=F-43m rho_g_cm3=7.51 pbc="T T T"
Li 4.508 -6.720 5.836
Pr 0.000 0.000 0.000
Gd 3.006 -4.480 3.891
Pb 1.503 -2.240 1.945